TiNbCu4: relaxed, PBE.

relative energy among the computed polymorphs: 0.00 eV per formula unit
total magnetization: 0.000 μB/cell
DOS(E_F): 0.671 states/eV/atom
space group: No. 71
ΔE_f: -0.06 eV/atom

Cell and atoms, written as POSCAR:
```
TiNbCu4
1.0
-2.145 2.570 3.716
2.145 -2.570 3.716
2.145 2.570 -3.716
Ti Nb Cu
1 1 4
direct
0.000 0.000 0.000 Ti
0.500 0.000 0.500 Nb
0.082 0.333 0.749 Cu
0.416 0.667 0.749 Cu
0.584 0.333 0.251 Cu
0.918 0.667 0.251 Cu
```